15
Lattice="8.115 0.000 0.000 -4.058 7.028 0.000 0.000 0.000 9.967" Properties=species:S:1:pos:R:3 comment="Cs3Cu2AgI9 | the Alexandria database | PBE-GGA | relaxed" e_tot_ev_per_atom=-2.49 m_tot_mub_per_fu=0.00 pbc="T T T"
Cs 0.000 0.000 0.000
Cs 0.000 4.685 6.638
Cs 4.058 2.343 3.329
Cu 0.000 4.685 1.627
Cu 4.058 2.343 8.339
Ag 0.000 0.000 4.983
I -2.029 3.514 0.000
I 0.000 2.402 3.249
I -1.977 5.827 3.249
I 2.080 1.201 6.717
I 4.058 0.000 0.000
I 2.029 3.514 0.000
I 1.977 5.827 3.249
I 6.035 1.201 6.717
I 4.058 4.626 6.717